Record 1
TcSbP: optimized geometry, PBEsol.

Results
calculated volume	18.55	Å³ per atom
total magnetic moment	0.0	μB per formula unit
DOS at the Fermi energy	0.936	states/eV/atom
formation energy without anion corrections	0.20	eV/atom
symmetry	F-43m

Unit cell a=4.2857 b=4.2857 c=4.2857 alpha=60.00 beta=60.00 gamma=60.00
Fractional coordinates of all 3 atoms:
1 Tc 0.0000 0.0000 0.0000
2 Sb 0.2500 0.2500 0.2500
3 P 0.7500 0.7500 0.7500



Record 2
SbTeP2: optimized geometry, PBEsol.

Results
relative energy among the computed polymorphs	0.364	eV per atom
calculated volume	19.92	Å³ per atom
total magnetic moment	0.0	μB per formula unit
DOS at the Fermi energy	0.564	states/eV/atom
formation energy without anion corrections	0.48	eV/atom
symmetry	Fm-3m

Unit cell a=4.8304 b=4.8304 c=4.8304 alpha=60.00 beta=60.00 gamma=60.00
Fractional coordinates of all 4 atoms:
1 Sb 0.0000 0.0000 0.0000
2 Te 0.5000 0.5000 0.5000
3 P 0.2500 0.2500 0.2500
4 P 0.7500 0.7500 0.7500



Record 3
Sb2TeP: optimized geometry, PBEsol.

Results
relative energy among the computed polymorphs	0.210	eV per atom
calculated volume	24.52	Å³ per atom
total magnetic moment	0.0	μB per formula unit
DOS at the Fermi energy	0.525	states/eV/atom
formation energy without anion corrections	0.27	eV/atom
symmetry	P4mm

Unit cell a=3.5455 b=3.5455 c=7.8029 alpha=90.00 beta=90.00 gamma=90.00
Fractional coordinates of all 4 atoms:
1 Sb 0.0000 0.0000 0.0000
2 Sb 0.5000 0.5000 0.3147
3 Te 0.0000 0.0000 0.5435
4 P 0.5000 0.5000 0.8606



Record 4
SbTeP2: optimized geometry, PBEsol.

Results
relative energy among the computed polymorphs	0.071	eV per atom
calculated volume	24.96	Å³ per atom
total magnetic moment	0.0	μB per formula unit
DOS at the Fermi energy	0.371	states/eV/atom
formation energy without anion corrections	0.19	eV/atom
symmetry	Imm2

Unit cell a=8.0658 b=8.0658 c=8.0658 alpha=157.35 beta=150.35 gamma=37.64
Fractional coordinates of all 4 atoms:
1 Sb 0.0000 0.0000 0.0000
2 Te 0.3654 0.8654 0.5000
3 P 0.6279 0.6279 0.0000
4 P 0.7204 0.2204 0.5000



What is the DOS at the Fermi energy in the second record?
0.564 states/eV/atom



The highest formation energy without anion corrections belongs to which entry?
number 2



What is the formula in the first record?
TcSbP



Which formula does entry 2 have?
SbTeP2